1.
# CeTi2Ru

A geometry-optimized CeTi2Ru structure (GGA-PBE, Alexandria via LeMat-Bulk).

a b c (Å): 3.094 3.094 7.712
angles (deg): 90.00 90.00 90.00
Space group P4/mmm (No. 123)
Asymmetric unit:
Ce1 0.000 0.000 0.000 [1 per cell]
Ti1 0.500 0.500 0.306 [2 per cell]
Ru1 0.000 0.000 0.500 [1 per cell]

Calculated values
* theoretical density: 7.58 g cm⁻³
* M_tot: 0.00 μB/f.u.
* ΔH_f (0 K): -1.1 eV/f.u.
* raw total energy: -8.0142 eV/atom

2.
# TlCo2Hg

A geometry-optimized TlCo2Hg structure (GGA-PBE, Alexandria via LeMat-Bulk).

a b c (Å): 7.202 7.202 5.657
angles (deg): 90.00 90.00 90.00
Space group I-42d (No. 122)
Asymmetric unit:
Tl1 0.000 0.000 0.000 [4 per cell]
Co1 0.249 0.250 0.625 [8 per cell]
Hg1 0.000 0.000 0.500 [4 per cell]

Calculated values
* theoretical density: 11.84 g cm⁻³
* M_tot: 2.67 μB/f.u.
* ΔH_f (0 K): 3.3 eV/f.u.
* raw total energy: -3.3850 eV/atom

3.
# ZnCo2Os

A geometry-optimized ZnCo2Os structure (GGA-PBE, Alexandria via LeMat-Bulk).

a b c (Å): 3.617 3.617 7.467
angles (deg): 90.00 90.00 90.00
Space group I-4m2 (No. 119)
Asymmetric unit:
Zn1 0.000 0.000 0.000 [2 per cell]
Co1 0.000 0.000 0.500 [2 per cell]
Co2 0.000 0.500 0.750 [2 per cell]
Os1 0.000 0.500 0.250 [2 per cell]

Calculated values
* theoretical density: 12.70 g cm⁻³
* M_tot: 1.01 μB/f.u.
* ΔH_f (0 K): 0.9 eV/f.u.
* raw total energy: -6.4562 eV/atom

4.
# Gd2PuZr

A geometry-optimized Gd2PuZr structure (GGA-PBE, Alexandria via LeMat-Bulk).

a b c (Å): 4.794 4.794 4.806
angles (deg): 90.00 90.00 90.00
Space group P4/mmm (No. 123)
Asymmetric unit:
Gd1 0.000 0.500 0.000 [2 per cell]
Pu1 0.000 0.000 0.500 [1 per cell]
Zr1 0.500 0.500 0.500 [1 per cell]

Calculated values
* theoretical density: 9.77 g cm⁻³
* M_tot: 8.55 μB/f.u.
* ΔH_f (0 K): 0.7 eV/f.u.
* raw total energy: -12.5885 eV/atom

What is the formula in the second record?
TlCo2Hg

What is the formula in the fourth record?
Gd2PuZr